Crystalline CuSnCl3 at its relaxed geometry, computed with PBE.

Geometry as POSCAR:
```
CuSnCl3
1.0
10.761 -2.028 0.000
10.761 2.028 0.000
-1.004 0.000 6.386
Cu Sn Cl
2 2 6
Direct
0.005 0.005 0.287 Cu
0.995 0.995 0.713 Cu
0.335 0.335 0.950 Sn
0.665 0.665 0.050 Sn
0.104 0.104 0.795 Cl
0.255 0.255 0.237 Cl
0.449 0.449 0.711 Cl
0.551 0.551 0.289 Cl
0.745 0.745 0.763 Cl
0.896 0.896 0.205 Cl
```

Results
Magnetic moment   0.000 μB per formula unit
Symmetry   C2/m (12)
DFT total energy   -3.4638 eV per atom